# Sr2ThVO6 GGA+U relaxed
data_Sr2ThVO6
_cell_length_a 5.860
_cell_length_b 5.946
_cell_length_c 10.169
_cell_angle_alpha 90.00
_cell_angle_beta 124.32
_cell_angle_gamma 90.00
_space_group_name_H-M_alt 'P 1'
_space_group_IT_number 1
loop_
_space_group_symop_operation_xyz
'x,y,z'
loop_
_atom_site_label
_atom_site_type_symbol
_atom_site_fract_x
_atom_site_fract_y
_atom_site_fract_z
Sr1 Sr 0.239 0.039 0.248
Sr2 Sr 0.239 0.461 0.748
Sr3 Sr 0.761 0.539 0.252
Sr4 Sr 0.761 0.961 0.752
Th1 Th 0.500 0.000 0.000
Th2 Th 0.500 0.500 0.500
V1 V 0.000 0.000 0.500
V2 V 0.000 0.500 0.000
O1 O 0.148 0.223 0.955
O2 O 0.148 0.277 0.455
O3 O 0.222 0.687 0.959
O4 O 0.222 0.813 0.459
O5 O 0.315 0.024 0.734
O6 O 0.315 0.476 0.234
O7 O 0.685 0.524 0.766
O8 O 0.685 0.976 0.266
O9 O 0.778 0.187 0.541
O10 O 0.778 0.313 0.041
O11 O 0.852 0.723 0.545
O12 O 0.852 0.777 0.045
# volume = 146.3 Å³/f.u.
# DOS(E_F) = 0.000 states/eV per atom
# total moment = 2.00 Bohr magnetons per cell
# E = -7.683 eV per atom